Entry from the Alexandria database: an optimized crystal structure of InCu2Te4 (PBE).

Values from the calculation:
The calculated volume comes out at 410.46 Å³ per cell. The uncorrected formation energy is -0.048 eV per atom. The calculation puts the size of the total moment at 0.0 μB per cell.

abc: 7.5745 7.5751 8.9361
angles: 115.07 115.06 90.02
Positions (direct):
Cu: 0.6297 0.3797 0.2585
Cu: 0.6228 0.3738 0.7470
Te: 0.3754 0.6058 0.2128
Te: 0.8551 0.5868 0.7105
In: 0.2506 0.7506 0.5000
Cu: 0.1213 0.3700 0.7412
Te: 0.3928 0.6247 0.7869
Te: 0.8378 0.6066 0.2132
Te: 0.3934 0.1623 0.7874
Te: 0.8542 0.1234 0.7100
Te: 0.8768 0.1444 0.2896
Cu: 0.6263 0.8765 0.2533
Te: 0.4131 0.1448 0.2899
In: 0.0006 0.0006 0.9998